# 1
# Tb4Nd3Tm2 (PBE-GGA, optimized geometry)
data_Tb4Nd3Tm2
_chemical_formula_sum 'Tb4 Nd3 Tm2'
_space_group_name_H-M_alt 'P 1'
_space_group_IT_number 1
_cell_length_a 6.196
_cell_length_b 6.205
_cell_length_c 12.915
_cell_angle_alpha 118.62
_cell_angle_beta 104.01
_cell_angle_gamma 119.90
loop_
_space_group_symop_operation_xyz
'x,y,z'
loop_
_atom_site_label
_atom_site_fract_x
_atom_site_fract_y
_atom_site_fract_z
Nd1 0.554 0.109 0.666
Nd2 0.446 0.891 0.334
Nd3 0.000 0.000 0.000
Tb1 0.665 0.331 0.000
Tb2 0.335 0.669 0.000
Tb3 0.890 0.779 0.666
Tb4 0.110 0.221 0.334
Tm1 0.779 0.558 0.334
Tm2 0.221 0.442 0.666
# DFT total energy in eV/f.u.: -41.61
# DFT formation energy in eV per formula unit: 0.16
# Density in g/cm³: 7.97

# 2
# Tb2Nd5Tm4 (PBE-GGA, optimized geometry)
data_Tb2Nd5Tm4
_chemical_formula_sum 'Tb2 Nd5 Tm4'
_space_group_name_H-M_alt 'P 1'
_space_group_IT_number 1
_cell_length_a 3.524
_cell_length_b 9.103
_cell_length_c 12.728
_cell_angle_alpha 110.95
_cell_angle_beta 97.96
_cell_angle_gamma 90.00
loop_
_space_group_symop_operation_xyz
'x,y,z'
loop_
_atom_site_label
_atom_site_fract_x
_atom_site_fract_y
_atom_site_fract_z
Tm1 0.404 0.404 0.808
Tm2 0.596 0.596 0.192
Tm3 0.000 0.684 0.000
Tm4 0.000 0.316 0.000
Tb1 0.731 0.731 0.461
Tb2 0.269 0.269 0.539
Nd1 0.145 0.944 0.290
Nd2 0.145 0.346 0.290
Nd3 0.500 0.000 0.000
Nd4 0.855 0.056 0.710
Nd5 0.855 0.654 0.710
# DFT total energy in eV/f.u.: -48.94
# DFT formation energy in eV per formula unit: 2.05
# Density in g/cm³: 7.55

# 3
# Tb6NdTm4 (PBE-GGA, optimized geometry)
data_Tb6NdTm4
_chemical_formula_sum 'Tb6 Nd1 Tm4'
_space_group_name_H-M_alt 'P 1'
_space_group_IT_number 1
_cell_length_a 6.544
_cell_length_b 6.544
_cell_length_c 9.707
_cell_angle_alpha 109.70
_cell_angle_beta 109.70
_cell_angle_gamma 90.00
loop_
_space_group_symop_operation_xyz
'x,y,z'
loop_
_atom_site_label
_atom_site_fract_x
_atom_site_fract_y
_atom_site_fract_z
Tb1 0.138 0.138 0.651
Tb2 0.500 0.000 0.000
Tb3 0.513 0.513 0.651
Tb4 0.487 0.862 0.349
Tb5 0.862 0.487 0.349
Tb6 0.000 0.500 0.000
Tm1 0.689 0.049 0.738
Tm2 0.049 0.689 0.738
Tm3 0.951 0.951 0.262
Tm4 0.311 0.311 0.262
Nd1 0.500 0.500 0.000
# DFT total energy in eV/f.u.: -46.88
# DFT formation energy in eV per formula unit: 3.56
# Density in g/cm³: 8.06

# 4
# TbNd4Tm5 (PBE-GGA, optimized geometry)
data_TbNd4Tm5
_chemical_formula_sum 'Tb1 Nd4 Tm5'
_space_group_name_H-M_alt 'P 1'
_space_group_IT_number 1
_cell_length_a 3.511
_cell_length_b 11.272
_cell_length_c 8.701
_cell_angle_alpha 90.13
_cell_angle_beta 101.58
_cell_angle_gamma 90.00
loop_
_space_group_symop_operation_xyz
'x,y,z'
loop_
_atom_site_label
_atom_site_fract_x
_atom_site_fract_y
_atom_site_fract_z
Tm1 0.827 0.049 0.653
Tm2 0.828 0.454 0.654
Tm3 0.500 0.500 0.000
Tm4 0.172 0.546 0.346
Tm5 0.173 0.951 0.347
Nd1 0.967 0.251 0.934
Nd2 0.343 0.750 0.683
Nd3 0.657 0.250 0.317
Nd4 0.033 0.749 0.066
Tb1 0.500 0.000 0.000
# DFT total energy in eV/f.u.: -44.09
# DFT formation energy in eV per formula unit: 1.97
# Density in g/cm³: 7.78

Among the records above, which one has the highest DFT formation energy? Tb6NdTm4

Look up the density of the third one. 8.06 g/cm³

Repeat the third record exactly.
# Tb6NdTm4 (PBE-GGA, optimized geometry)
data_Tb6NdTm4
_chemical_formula_sum 'Tb6 Nd1 Tm4'
_space_group_name_H-M_alt 'P 1'
_space_group_IT_number 1
_cell_length_a 6.544
_cell_length_b 6.544
_cell_length_c 9.707
_cell_angle_alpha 109.70
_cell_angle_beta 109.70
_cell_angle_gamma 90.00
loop_
_space_group_symop_operation_xyz
'x,y,z'
loop_
_atom_site_label
_atom_site_fract_x
_atom_site_fract_y
_atom_site_fract_z
Tb1 0.138 0.138 0.651
Tb2 0.500 0.000 0.000
Tb3 0.513 0.513 0.651
Tb4 0.487 0.862 0.349
Tb5 0.862 0.487 0.349
Tb6 0.000 0.500 0.000
Tm1 0.689 0.049 0.738
Tm2 0.049 0.689 0.738
Tm3 0.951 0.951 0.262
Tm4 0.311 0.311 0.262
Nd1 0.500 0.500 0.000
# DFT total energy in eV/f.u.: -46.88
# DFT formation energy in eV per formula unit: 3.56
# Density in g/cm³: 8.06

Which of these has the highest density? Tb6NdTm4